Computed, not measured: a relaxed structure of Na2MnCuBr6 at the PBE level of DFT.

a b c (Å): 7.858 7.858 7.858
angles (deg): 53.71 53.71 53.71
Element x y z (fractional)
Na  0.000  0.000  0.000
Na  0.481  0.481  0.481
Mn  0.685  0.685  0.685
Cu  0.270  0.270  0.270
Br  0.035  0.440  0.781
Br  0.320  0.907  0.567
Br  0.440  0.781  0.035
Br  0.567  0.320  0.907
Br  0.781  0.035  0.440
Br  0.907  0.567  0.320

Computed properties:
The size of the total moment comes out at 0.40 μB per atom. The calculation puts the uncorrected formation energy at -88 kJ/mol of atoms. The symmetry is No. 146. The calculation puts the volume at 292.65 Å³ per cell.